A plane-wave DFT calculation with GGA-PBE was carried out for a geometry-optimized CaAgAu2 structure.

Unit cell a=3.5757 b=3.6641 c=6.3690 alpha=90.00 beta=90.00 gamma=90.00
Last column: nearest neighbours and their distance in Å.
Space group Pmmm (No. 47)
Asymmetric unit:
Ca: 0.0000 0.0000 0.0000 [1 per cell]  8 Au 3.09, 2 Ag 3.18
Ag: 0.0000 0.0000 0.5000 [1 per cell]  8 Au 2.95, 2 Ca 3.18
Au: 0.5000 0.5000 0.2710 [2 per cell]  1 Au 2.92, 4 Ag 2.95, 4 Ca 3.09

- final energy (eV/cell) = -13.25
- total moment (Bohr magnetons per cell) = 0.00



A plane-wave DFT calculation with GGA-PBE was carried out for a geometry-optimized Ca2AgAu structure.

Unit cell a=5.9747 b=4.7231 c=7.9305 alpha=90.00 beta=109.81 gamma=90.00
Last column: nearest neighbours and their distance in Å.
Space group P2_1/m (No. 11)
Asymmetric unit:
Ca: 0.2116 0.2500 0.4315 [2 per cell]  4 Au 3.14-3.18, 3 Ag 3.17-3.18
Ca: 0.2269 0.2500 0.9266 [2 per cell]  3 Au 3.13-3.16, 4 Ag 3.16-3.19
Ag: 0.3367 0.7500 0.2126 [2 per cell]  2 Au 2.95, 7 Ca 3.16-3.19
Au: 0.3494 0.7500 0.7086 [2 per cell]  2 Ag 2.95, 7 Ca 3.13-3.18

- final energy (eV/cell) = -24.85
- total moment (Bohr magnetons per cell) = 0.00
- polymorph energy (0 for the lowest one) (meV/atom) = 0



A plane-wave DFT calculation with GGA-PBE was carried out for a geometry-optimized Ca3Ag3Au2 structure.

Unit cell a=7.3689 b=7.3689 c=4.0820 alpha=90.00 beta=90.00 gamma=120.00
Last column: nearest neighbours and their distance in Å.
Space group P-62m (No. 189)
Asymmetric unit:
Ca: 0.0000 0.6125 0.0000 [3 per cell]  4 Au 3.06, 4 Ag 3.22
Ag: 0.0000 0.2296 0.5000 [3 per cell]  2 Au 2.91, 2 Ag 2.93, 4 Ca 3.22
Au: 0.3333 0.6667 0.5000 [2 per cell]  3 Ag 2.91, 6 Ca 3.06

- final energy (eV/cell) = -25.24
- total moment (Bohr magnetons per cell) = 0.00
- polymorph energy (0 for the lowest one) (meV/atom) = 0



A plane-wave DFT calculation with GGA-PBE was carried out for a geometry-optimized Ca3Ag4Au2 structure.

Unit cell a=10.8619 b=4.7321 c=9.0963 alpha=90.00 beta=116.83 gamma=90.00
Last column: nearest neighbours and their distance in Å.
Space group C2/m (No. 12)
Asymmetric unit:
Ca: 0.0000 0.0000 0.0000 [2 per cell]  4 Au 3.15, 8 Ag 3.17-3.29, 2 Ca 3.51
Ca: 0.1856 0.5000 0.6383 [4 per cell]  4 Au 3.13-3.46, 7 Ag 3.18-3.40
Ag: 0.0062 0.0000 0.3522 [4 per cell]  2 Ag 2.75-3.00, 2 Au 2.78
Ag: 0.2248 0.5000 0.0638 [4 per cell]  3 Ag 2.80-3.00, 1 Au 2.80
Au: 0.0835 0.5000 0.2564 [4 per cell]  3 Ag 2.78-2.80

- final energy (eV/cell) = -55.81
- total moment (Bohr magnetons per cell) = 0.00
- polymorph energy (0 for the lowest one) (meV/atom) = 0



A plane-wave DFT calculation with GGA-PBE was carried out for a geometry-optimized Ca7Ag2Au2 structure.

Unit cell a=4.3592 b=15.6165 c=9.6757 alpha=90.00 beta=90.00 gamma=90.00
Last column: nearest neighbours and their distance in Å.
Space group Imm2 (No. 44)
Asymmetric unit:
Ca: 0.0000 0.0000 0.0000 [2 per cell]  3 Au 3.15-3.21
Ca: 0.0000 0.1116 0.4015 [4 per cell]  3 Au 3.12-3.22, 2 Ag 3.24, 1 Ca 3.49
Ca: 0.0000 0.3181 0.6180 [4 per cell]  3 Ag 3.05-3.15, 1 Au 3.06
Ca: 0.0000 0.3687 0.2290 [4 per cell]  2 Au 3.05, 2 Ag 3.26
Ag: 0.0000 0.2352 0.9143 [4 per cell]  7 Ca 3.05-3.26
Au: 0.0000 0.0000 0.6685 [2 per cell]  7 Ca 3.05-3.21
Au: 0.0000 0.5000 0.7345 [2 per cell]  8 Ca 3.06-3.22

- final energy (eV/cell) = -62.60
- total moment (Bohr magnetons per cell) = 0.00
- polymorph energy (0 for the lowest one) (meV/atom) = 0



A plane-wave DFT calculation with GGA-PBE was carried out for a geometry-optimized CaAg2Au2 structure.

Unit cell a=4.0653 b=4.0653 c=26.6185 alpha=90.00 beta=90.00 gamma=90.00
Last column: nearest neighbours and their distance in Å.
Space group I4/mmm (No. 139)
Asymmetric unit:
Ca: 0.0000 0.0000 0.1199 [4 per cell]  4 Au 3.11, 4 Ag 3.24
Ag: 0.0000 0.0000 0.3239 [4 per cell]  5 Au 2.69-2.83
Ag: 0.0000 0.5000 0.0000 [4 per cell]  4 Au 2.85, 4 Ag 2.87
Au: 0.0000 0.0000 0.4248 [4 per cell]  5 Ag 2.69-2.85
Au: 0.0000 0.5000 0.2500 [4 per cell]  4 Ag 2.83, 4 Au 2.87

- final energy (eV/cell) = -63.00
- total moment (Bohr magnetons per cell) = 0.00
- polymorph energy (0 for the lowest one) (meV/atom) = 67



Formation energy from the elements, respectively: -1.84; -2.29; -4.13; -3.94; -5.03; -1.49 eV per formula unit.